Entry 1:
A plane-wave DFT calculation with PBE-GGA was carried out for Ce2DyCuSe5 after structural relaxation.

a = 8.8786 Å, b = 8.8786 Å, c = 12.4056 Å
α = 90.00°, β = 90.00°, γ = 153.67°
Closest atoms and distances in Å follow each position.
Fractional positions:
1 Ce 0.1112 0.8888 0.5000  7 Se 3.01-3.19
2 Ce 0.1187 0.8813 0.8473  8 Se 3.00-3.20
3 Ce 0.8813 0.1187 0.3473  8 Se 3.00-3.20
4 Ce 0.8888 0.1112 0.0000  7 Se 3.01-3.19
5 Dy 0.1788 0.8212 0.1776  6 Se 2.81-2.89
6 Dy 0.8212 0.1788 0.6776  6 Se 2.81-2.89
7 Cu 0.4451 0.5549 0.5762  4 Se 2.40-2.48
8 Cu 0.5549 0.4451 0.0762  4 Se 2.40-2.48
9 Se 0.0162 0.9838 0.1708  2 Cu 2.43
10 Se 0.3037 0.6963 0.8403  2 Dy 2.87, 3 Ce 3.19-3.20
11 Se 0.3095 0.6905 0.5118  1 Cu 2.48
12 Se 0.3446 0.6554 0.1722  1 Dy 2.87, 4 Ce 3.04
13 Se 0.4962 0.5038 0.9012  1 Cu 2.40
14 Se 0.5038 0.4962 0.4012  1 Cu 2.40
15 Se 0.6554 0.3446 0.6722  1 Dy 2.87, 4 Ce 3.04
16 Se 0.6905 0.3095 0.0118  1 Cu 2.48
17 Se 0.6963 0.3037 0.3403  2 Dy 2.87, 3 Ce 3.19-3.20
18 Se 0.9838 0.0162 0.6708  2 Cu 2.43

---

Entry 2:
A plane-wave DFT calculation with PBE-GGA was carried out for Ce2Dy2CuSi4 after structural relaxation.

a = 6.3931 Å, b = 6.3931 Å, c = 6.3931 Å
α = 115.16°, β = 115.16°, γ = 98.61°
Closest atoms and distances in Å follow each position.
Fractional positions:
1 Ce 0.1779 0.1779 0.0000  1 Cu 2.69, 1 Ce 2.97, 4 Si 2.97
2 Ce 0.8221 0.8221 0.0000  1 Cu 2.69, 1 Ce 2.97, 4 Si 2.97
3 Dy 0.2500 0.7500 0.5000  8 Si 3.20, 4 Ce 3.48
4 Dy 0.7500 0.2500 0.5000  8 Si 3.20, 4 Ce 3.48
5 Cu 0.5000 0.5000 0.0000  4 Si 2.28
6 Si 0.2651 0.2651 0.5303  1 Cu 2.28
7 Si 0.2651 0.7349 0.0000  1 Cu 2.28
8 Si 0.7349 0.2651 0.0000  1 Cu 2.28
9 Si 0.7349 0.7349 0.4697  1 Cu 2.28

---

Entry 3:
A plane-wave DFT calculation with PBE-GGA was carried out for CeDyCuSi after structural relaxation.

a = 4.9827 Å, b = 4.9827 Å, c = 4.9827 Å
α = 60.00°, β = 60.00°, γ = 60.00°
Closest atoms and distances in Å follow each position.
Fractional positions:
1 Ce 0.0000 0.0000 0.0000  4 Cu 3.05, 4 Si 3.05
2 Dy 0.5000 0.5000 0.5000  4 Cu 3.05, 4 Si 3.05
3 Cu 0.2500 0.2500 0.2500  4 Ce 3.05, 4 Dy 3.05
4 Si 0.7500 0.7500 0.7500  4 Dy 3.05, 4 Ce 3.05

---

no.,formation energy from raw total energies (kJ/mol of atoms)
1,-152
2,-24
3,-33